Record 1
# CaFe2SnOs (PBE-GGA, relaxed)
# Formation energy   2.2647 eV per atom
data_CaFe2SnOs
_space_group_name_H-M_alt 'P 1'
_space_group_IT_number 1
_cell_length_a 4.278
_cell_length_b 5.271
_cell_length_c 4.278
_cell_angle_alpha 90.00
_cell_angle_beta 90.00
_cell_angle_gamma 90.00
loop_
_space_group_symop_operation_xyz
'x,y,z'
loop_
_atom_site_label
_atom_site_fract_x
_atom_site_fract_y
_atom_site_fract_z
_atom_site_occupancy
Fe1 0.500 0.000 0.000 1
Os1 0.500 0.500 0.500 1
Fe2 0.000 0.000 0.500 1
Sn1 0.000 0.500 0.000 1
Ca1 0.000 0.000 0.000 1



Record 2
# Ca2FeTcOs (PBE-GGA, relaxed)
# Formation energy   1.1947 eV per atom
data_Ca2FeTcOs
_space_group_name_H-M_alt 'P 1'
_space_group_IT_number 1
_cell_length_a 5.440
_cell_length_b 4.663
_cell_length_c 5.440
_cell_angle_alpha 90.00
_cell_angle_beta 90.00
_cell_angle_gamma 90.00
loop_
_space_group_symop_operation_xyz
'x,y,z'
loop_
_atom_site_label
_atom_site_fract_x
_atom_site_fract_y
_atom_site_fract_z
_atom_site_occupancy
Fe1 0.500 0.500 0.500 1
Ca1 0.500 0.000 0.000 1
Tc1 0.000 0.500 0.000 1
Os1 0.000 0.000 0.000 1
Ca2 0.000 0.000 0.500 1



Record 3
# Ca2FeP (PBE-GGA, relaxed)
# Formation energy   0.1779 eV per atom
data_Ca2FeP
_space_group_name_H-M_alt 'P 1'
_space_group_IT_number 1
_cell_length_a 7.838
_cell_length_b 7.838
_cell_length_c 6.372
_cell_angle_alpha 52.05
_cell_angle_beta 52.05
_cell_angle_gamma 90.00
loop_
_space_group_symop_operation_xyz
'x,y,z'
loop_
_atom_site_label
_atom_site_fract_x
_atom_site_fract_y
_atom_site_fract_z
_atom_site_occupancy
Fe1 0.000 0.000 0.000 1
Ca1 0.875 0.853 0.750 1
P1 0.500 0.500 0.000 1
Ca2 0.603 0.125 0.250 1
Ca3 0.147 0.625 0.250 1
Fe2 0.750 0.250 0.500 1
Ca4 0.375 0.397 0.750 1
P2 0.250 0.750 0.500 1



Record 4
# CaFeP3 (PBE-GGA, relaxed)
# Formation energy   -0.0330 eV per atom
data_CaFeP3
_space_group_name_H-M_alt 'P 1'
_space_group_IT_number 1
_cell_length_a 4.485
_cell_length_b 4.485
_cell_length_c 4.485
_cell_angle_alpha 90.00
_cell_angle_beta 90.00
_cell_angle_gamma 90.00
loop_
_space_group_symop_operation_xyz
'x,y,z'
loop_
_atom_site_label
_atom_site_fract_x
_atom_site_fract_y
_atom_site_fract_z
_atom_site_occupancy
Fe1 0.000 0.000 0.000 1
P1 0.000 0.500 0.000 1
Ca1 0.500 0.500 0.500 1
P2 0.000 0.000 0.500 1
P3 0.500 0.000 0.000 1